[1]
Below is KRbPtC2 after structural relaxation, with properties calculated at the GGA-PBE level.

Structure (POSCAR):
```
KRbPtC2
1.0
-0.079 1.416 -5.110
-4.553 -0.732 2.619
-0.008 5.055 1.401
C K Rb Pt
2 1 1 1
direct
0.000 0.000 0.621
0.000 0.000 0.378
0.333 0.667 0.725
0.667 0.333 0.276
0.000 0.000 0.999
```

Summary:
space group	No. 156
electronic total energy	-5.389	eV/atom



[2]
Below is KHoGeS3 after structural relaxation, with properties calculated at the GGA-PBE level.

Structure (POSCAR):
```
KHoGeS3
1.0
-3.302 -7.423 1.109
0.633 -0.841 -3.745
10.500 -0.678 1.927
Ge S K Ho
2 6 2 2
direct
0.136 0.750 0.061
0.864 0.250 0.939
0.663 0.750 0.917
0.397 0.250 0.606
0.890 0.250 0.726
0.110 0.750 0.274
0.603 0.750 0.394
0.337 0.250 0.083
0.228 0.750 0.770
0.772 0.250 0.230
0.362 0.250 0.346
0.638 0.750 0.654
```

Summary:
space group	No. 11
electronic total energy	-5.120	eV/atom



[3]
Below is Al7Pd3 after structural relaxation, with properties calculated at the GGA-PBE level.

Structure (POSCAR):
```
Al7Pd3
1.0
-1.498 4.349 8.559
-4.295 1.373 -8.607
-3.143 -8.959 2.065
Pd Al
12 28
direct
0.299 0.799 0.098
0.750 0.957 0.207
0.043 0.250 0.793
0.701 0.201 0.902
0.457 0.250 0.207
0.250 0.457 0.207
0.250 0.043 0.793
0.201 0.299 0.500
0.957 0.750 0.207
0.799 0.701 0.500
0.750 0.543 0.793
0.543 0.750 0.793
0.135 0.990 0.500
0.498 0.838 0.336
0.387 0.379 0.766
0.338 0.998 0.336
0.250 0.250 0.000
0.490 0.635 0.500
0.365 0.865 0.855
0.621 0.387 0.008
0.838 0.502 0.339
0.635 0.135 0.145
0.750 0.750 0.000
0.998 0.662 0.661
0.121 0.113 0.234
0.379 0.613 0.992
0.613 0.621 0.234
0.510 0.365 0.500
0.887 0.121 0.008
0.662 0.002 0.664
0.879 0.887 0.766
0.002 0.338 0.339
0.502 0.162 0.664
0.162 0.498 0.661
0.990 0.490 0.855
0.010 0.510 0.145
0.750 0.250 0.500
0.250 0.750 0.500
0.865 0.010 0.500
0.113 0.879 0.992
```

Summary:
space group	No. 140
electronic total energy	-4.671	eV/atom



[4]
Below is CsAgTe3Pt after structural relaxation, with properties calculated at the GGA-PBE level.

Structure (POSCAR):
```
CsAgTe3Pt
1.0
8.419 -2.058 0.000
8.419 2.058 0.000
0.000 0.000 11.410
Ag Te Pt Cs
2 6 2 2
direct
0.439 0.439 0.250
0.561 0.561 0.750
0.395 0.395 0.483
0.052 0.052 0.250
0.605 0.605 0.983
0.948 0.948 0.750
0.605 0.605 0.517
0.395 0.395 0.017
0.000 0.000 0.000
0.000 0.000 0.500
0.247 0.247 0.750
0.753 0.753 0.250
```

Summary:
space group	No. 63
electronic total energy	-3.560	eV/atom



[5]
Below is RbFeGeSe3 after structural relaxation, with properties calculated at the GGA-PBE level.

Structure (POSCAR):
```
RbFeGeSe3
1.0
8.549 0.000 0.000
0.000 3.577 0.000
-3.160 0.000 10.616
Rb Ge Se Fe
2 2 6 2
direct
0.052 0.250 0.760
0.948 0.750 0.240
0.583 0.750 0.939
0.417 0.250 0.061
0.210 0.750 0.051
0.402 0.750 0.718
0.290 0.250 0.415
0.710 0.750 0.585
0.598 0.250 0.282
0.790 0.250 0.949
0.480 0.750 0.393
0.520 0.250 0.607
```

Summary:
space group	No. 11
electronic total energy	-4.533	eV/atom



[6]
Below is Zr4CdInC2 after structural relaxation, with properties calculated at the GGA-PBE level.

Structure (POSCAR):
```
Zr4CdInC2
1.0
3.354 0.000 0.000
-1.677 2.904 0.000
0.000 0.000 15.244
Zr C In Cd
4 2 1 1
direct
0.000 0.000 0.333
0.000 0.000 0.667
0.667 0.333 0.831
0.667 0.333 0.169
0.333 0.667 0.749
0.333 0.667 0.251
0.667 0.333 0.500
0.000 0.000 0.000
```

Summary:
space group	No. 187
electronic total energy	-7.645	eV/atom



[7]
Below is LiZnGa after structural relaxation, with properties calculated at the GGA-PBE level.

Structure (POSCAR):
```
LiZnGa
1.0
0.000 2.996 2.996
2.996 0.000 2.996
2.996 2.996 0.000
Li Ga Zn
1 1 1
direct
0.750 0.750 0.750
0.250 0.250 0.250
0.500 0.500 0.500
```

Summary:
space group	No. 216
electronic total energy	-2.145	eV/atom



[8]
Below is UTlHg after structural relaxation, with properties calculated at the GGA-PBE level.

Structure (POSCAR):
```
UTlHg
1.0
0.041 -5.102 -0.336
-3.734 -2.426 -2.514
0.984 -2.260 -4.481
Hg U Tl
1 1 1
direct
0.250 0.250 0.250
0.000 0.000 0.000
0.750 0.750 0.750
```

Summary:
space group	No. 216
electronic total energy	-3.953	eV/atom



[9]
Below is NpNiIr after structural relaxation, with properties calculated at the GGA-PBE level.

Structure (POSCAR):
```
NpNiIr
1.0
0.000 2.985 2.985
2.985 0.000 2.985
2.985 2.985 0.000
Ni Np Ir
1 1 1
direct
0.250 0.250 0.250
0.500 0.500 0.500
0.000 0.000 0.000
```

Summary:
space group	No. 216
energy of formation	-0.01	eV per formula unit



[10]
Below is NaHg after structural relaxation, with properties calculated at the GGA-PBE level.

Structure (POSCAR):
```
NaHg
1.0
3.486 0.000 0.000
-1.743 3.019 0.000
0.000 0.000 5.053
Hg Na
1 1
direct
0.667 0.333 0.750
0.333 0.667 0.250
```

Summary:
space group	No. 187
electronic total energy	-0.978	eV/atom



[11]
Below is PmBeGe after structural relaxation, with properties calculated at the GGA-PBE level.

Structure (POSCAR):
```
PmBeGe
1.0
3.987 0.000 0.000
-1.994 3.453 0.000
0.000 0.000 4.213
Be Pm Ge
1 1 1
direct
0.000 0.000 0.000
0.333 0.667 0.500
0.667 0.333 0.000
```

Summary:
space group	No. 187
electronic total energy	-5.020	eV/atom



[12]
Below is Ho5Tl3Cd after structural relaxation, with properties calculated at the GGA-PBE level.

Structure (POSCAR):
```
Ho5Tl3Cd
1.0
9.233 0.000 0.000
-4.617 7.996 0.000
0.000 0.000 6.703
Ho Cd Tl
10 2 6
direct
0.287 0.287 0.750
0.000 0.287 0.250
0.000 0.713 0.750
0.333 0.667 0.000
0.713 0.000 0.750
0.667 0.333 0.500
0.333 0.667 0.500
0.713 0.713 0.250
0.667 0.333 0.000
0.287 0.000 0.250
0.000 0.000 0.000
0.000 0.000 0.500
0.000 0.626 0.250
0.000 0.374 0.750
0.626 0.000 0.250
0.626 0.626 0.750
0.374 0.000 0.750
0.374 0.374 0.250
```

Summary:
space group	No. 193
electronic total energy	-3.764	eV/atom